Record 1
Entry from Alexandria via LeMat-Bulk: an optimized crystal structure of PuSc3Se4 (PBE).

CIF file:
```
data_PuSc3Se4
_chemical_formula_sum 'Pu1 Sc3 Se4'
_space_group_name_H-M_alt 'P 1'
_space_group_IT_number 1
_cell_length_a 3.928
_cell_length_b 3.928
_cell_length_c 13.123
_cell_angle_alpha 81.39
_cell_angle_beta 81.39
_cell_angle_gamma 60.00
loop_
_space_group_symop_operation_xyz
'x,y,z'
loop_
_atom_site_label
_atom_site_type_symbol
_atom_site_fract_x
_atom_site_fract_y
_atom_site_fract_z
_atom_site_occupancy
Sc1 Sc 0.752 0.752 0.743 1
Sc2 Sc 0.500 0.500 0.500 1
Sc3 Sc 0.248 0.248 0.257 1
Se1 Se 0.620 0.620 0.140 1
Se2 Se 0.874 0.874 0.379 1
Se3 Se 0.380 0.380 0.860 1
Se4 Se 0.126 0.126 0.621 1
Pu1 Pu 0.000 0.000 0.000 1
```

Values from the calculation:
Crystal system: trigonal
SG: R-3m, No. 166
ΔE_f (raw) (meV/atom): -1584.4



Record 2
Entry from Alexandria via LeMat-Bulk: an optimized crystal structure of CuTeH2 (PBE).

CIF file:
```
data_CuTeH2
_chemical_formula_sum 'Cu2 Te2 H4'
_space_group_name_H-M_alt 'P 1'
_space_group_IT_number 1
_cell_length_a 5.323
_cell_length_b 5.323
_cell_length_c 5.224
_cell_angle_alpha 59.37
_cell_angle_beta 59.37
_cell_angle_gamma 90.00
loop_
_space_group_symop_operation_xyz
'x,y,z'
loop_
_atom_site_label
_atom_site_type_symbol
_atom_site_fract_x
_atom_site_fract_y
_atom_site_fract_z
_atom_site_occupancy
H1 H 0.404 0.125 0.250 1
H2 H 0.346 0.625 0.250 1
H3 H 0.375 0.596 0.750 1
H4 H 0.875 0.654 0.750 1
Te1 Te 0.000 0.000 0.000 1
Te2 Te 0.750 0.250 0.500 1
Cu1 Cu 0.500 0.500 0.000 1
Cu2 Cu 0.250 0.750 0.500 1
```

Values from the calculation:
Crystal system: tetragonal
SG: I-42d, No. 122
Total DFT energy (no corrections) (eV per formula unit): -12.08



Record 3
Entry from Alexandria via LeMat-Bulk: an optimized crystal structure of PrSmDy2 (PBE).

CIF file:
```
data_PrSmDy2
_chemical_formula_sum 'Pr1 Sm1 Dy2'
_space_group_name_H-M_alt 'P 1'
_space_group_IT_number 1
_cell_length_a 5.073
_cell_length_b 5.111
_cell_length_c 5.111
_cell_angle_alpha 90.00
_cell_angle_beta 90.00
_cell_angle_gamma 90.00
loop_
_space_group_symop_operation_xyz
'x,y,z'
loop_
_atom_site_label
_atom_site_type_symbol
_atom_site_fract_x
_atom_site_fract_y
_atom_site_fract_z
_atom_site_occupancy
Pr1 Pr 0.500 0.500 0.500 1
Sm1 Sm 0.500 0.000 0.000 1
Dy1 Dy 0.000 0.000 0.500 1
Dy2 Dy 0.000 0.500 0.000 1
```

Values from the calculation:
Crystal system: tetragonal
SG: P4/mmm, No. 123
Formation energy from the elements (eV per atom): 0.0207



Record 4
Entry from Alexandria via LeMat-Bulk: an optimized crystal structure of CsVCuSe2 (PBE).

CIF file:
```
data_CsVCuSe2
_chemical_formula_sum 'Cs2 V2 Cu2 Se4'
_space_group_name_H-M_alt 'P 1'
_space_group_IT_number 1
_cell_length_a 5.542
_cell_length_b 5.774
_cell_length_c 8.339
_cell_angle_alpha 110.25
_cell_angle_beta 90.00
_cell_angle_gamma 90.00
loop_
_space_group_symop_operation_xyz
'x,y,z'
loop_
_atom_site_label
_atom_site_type_symbol
_atom_site_fract_x
_atom_site_fract_y
_atom_site_fract_z
_atom_site_occupancy
Cs1 Cs 0.228 0.750 0.500 1
Cs2 Cs 0.772 0.250 0.500 1
V1 V 0.500 0.750 0.000 1
V2 V 0.500 0.250 0.000 1
Cu1 Cu 0.000 0.000 0.000 1
Cu2 Cu 0.000 0.500 0.000 1
Se1 Se 0.706 0.896 0.792 1
Se2 Se 0.706 0.604 0.208 1
Se3 Se 0.294 0.396 0.792 1
Se4 Se 0.294 0.104 0.208 1
```

Values from the calculation:
Crystal system: orthorhombic
SG: Cmme, No. 67
ΔE_f (raw) (meV/atom): -578.9



Record 5
Entry from Alexandria via LeMat-Bulk: an optimized crystal structure of SmPa5C6 (PBE).

CIF file:
```
data_SmPa5C6
_chemical_formula_sum 'Sm1 Pa5 C6'
_space_group_name_H-M_alt 'P 1'
_space_group_IT_number 1
_cell_length_a 6.268
_cell_length_b 6.261
_cell_length_c 6.263
_cell_angle_alpha 60.01
_cell_angle_beta 80.45
_cell_angle_gamma 70.60
loop_
_space_group_symop_operation_xyz
'x,y,z'
loop_
_atom_site_label
_atom_site_type_symbol
_atom_site_fract_x
_atom_site_fract_y
_atom_site_fract_z
_atom_site_occupancy
C1 C 0.738 0.086 0.353 1
C2 C 0.262 0.561 0.353 1
C3 C 0.254 0.272 0.000 1
C4 C 0.746 0.728 0.000 1
C5 C 0.738 0.439 0.647 1
C6 C 0.262 0.914 0.647 1
Pa1 Pa 0.500 0.165 0.670 1
Pa2 Pa 0.000 0.333 0.335 1
Pa3 Pa 0.500 0.500 0.000 1
Pa4 Pa 0.000 0.667 0.665 1
Pa5 Pa 0.500 0.835 0.330 1
Sm1 Sm 0.000 0.000 0.000 1
```

Values from the calculation:
Crystal system: monoclinic
SG: C2/m, No. 12
Formation energy from the elements (eV per atom): -0.4031



Record 6
Entry from Alexandria via LeMat-Bulk: an optimized crystal structure of LaGa3Cu5 (PBE).

CIF file:
```
data_LaGa3Cu5
_chemical_formula_sum 'La2 Ga6 Cu10'
_space_group_name_H-M_alt 'P 1'
_space_group_IT_number 1
_cell_length_a 4.012
_cell_length_b 6.612
_cell_length_c 11.861
_cell_angle_alpha 90.00
_cell_angle_beta 90.00
_cell_angle_gamma 107.66
loop_
_space_group_symop_operation_xyz
'x,y,z'
loop_
_atom_site_label
_atom_site_type_symbol
_atom_site_fract_x
_atom_site_fract_y
_atom_site_fract_z
_atom_site_occupancy
La1 La 0.821 0.642 0.750 1
La2 La 0.179 0.358 0.250 1
Ga1 Ga 0.377 0.754 0.953 1
Ga2 Ga 0.894 0.787 0.250 1
Ga3 Ga 0.377 0.754 0.547 1
Ga4 Ga 0.623 0.246 0.453 1
Ga5 Ga 0.106 0.213 0.750 1
Ga6 Ga 0.623 0.246 0.047 1
Cu1 Cu 0.811 0.623 0.437 1
Cu2 Cu 0.189 0.377 0.937 1
Cu3 Cu 0.000 0.000 0.500 1
Cu4 Cu 0.000 0.000 0.000 1
Cu5 Cu 0.454 0.907 0.146 1
Cu6 Cu 0.546 0.093 0.854 1
Cu7 Cu 0.546 0.093 0.646 1
Cu8 Cu 0.811 0.623 0.063 1
Cu9 Cu 0.189 0.377 0.563 1
Cu10 Cu 0.454 0.907 0.354 1
```

Values from the calculation:
Crystal system: orthorhombic
SG: Cmcm, No. 63
Formation energy from the elements (eV per atom): -0.2505



Record 7
Entry from Alexandria via LeMat-Bulk: an optimized crystal structure of Li2TmGaSn2 (PBE).

CIF file:
```
data_Li2TmGaSn2
_chemical_formula_sum 'Li4 Tm2 Ga2 Sn4'
_space_group_name_H-M_alt 'P 1'
_space_group_IT_number 1
_cell_length_a 4.393
_cell_length_b 7.195
_cell_length_c 8.534
_cell_angle_alpha 90.00
_cell_angle_beta 90.00
_cell_angle_gamma 90.00
loop_
_space_group_symop_operation_xyz
'x,y,z'
loop_
_atom_site_label
_atom_site_type_symbol
_atom_site_fract_x
_atom_site_fract_y
_atom_site_fract_z
_atom_site_occupancy
Li1 Li 0.500 0.023 0.078 1
Li2 Li 0.000 0.342 0.157 1
Li3 Li 0.500 0.523 0.922 1
Li4 Li 0.000 0.842 0.843 1
Tm1 Tm 0.000 0.992 0.458 1
Tm2 Tm 0.000 0.492 0.542 1
Ga1 Ga 0.500 0.171 0.663 1
Ga2 Ga 0.500 0.671 0.337 1
Sn1 Sn 0.000 0.246 0.843 1
Sn2 Sn 0.500 0.272 0.343 1
Sn3 Sn 0.000 0.746 0.157 1
Sn4 Sn 0.500 0.772 0.657 1
```

Values from the calculation:
Crystal system: orthorhombic
SG: Pmc2_1, No. 26
Formation energy from the elements (eV per atom): -0.4263



Record 8
Entry from Alexandria via LeMat-Bulk: an optimized crystal structure of LiCeZnGe2 (PBE).

CIF file:
```
data_LiCeZnGe2
_chemical_formula_sum 'Li1 Ce1 Zn1 Ge2'
_space_group_name_H-M_alt 'P 1'
_space_group_IT_number 1
_cell_length_a 4.155
_cell_length_b 4.155
_cell_length_c 6.253
_cell_angle_alpha 109.40
_cell_angle_beta 109.40
_cell_angle_gamma 90.00
loop_
_space_group_symop_operation_xyz
'x,y,z'
loop_
_atom_site_label
_atom_site_type_symbol
_atom_site_fract_x
_atom_site_fract_y
_atom_site_fract_z
_atom_site_occupancy
Li1 Li 0.750 0.250 0.500 1
Ce1 Ce 0.000 0.000 0.000 1
Zn1 Zn 0.250 0.750 0.500 1
Ge1 Ge 0.614 0.614 0.228 1
Ge2 Ge 0.386 0.386 0.772 1
```

Values from the calculation:
Crystal system: tetragonal
SG: I-4m2, No. 119
Formation energy from the elements (eV per atom): -0.5159



Record 9
Entry from Alexandria via LeMat-Bulk: an optimized crystal structure of SbIr (PBE).

CIF file:
```
data_SbIr
_chemical_formula_sum 'Sb2 Ir2'
_space_group_name_H-M_alt 'P 1'
_space_group_IT_number 1
_cell_length_a 3.840
_cell_length_b 3.793
_cell_length_c 5.390
_cell_angle_alpha 77.72
_cell_angle_beta 90.00
_cell_angle_gamma 90.00
loop_
_space_group_symop_operation_xyz
'x,y,z'
loop_
_atom_site_label
_atom_site_type_symbol
_atom_site_fract_x
_atom_site_fract_y
_atom_site_fract_z
_atom_site_occupancy
Ir1 Ir 0.000 0.722 0.065 1
Ir2 Ir 0.500 0.028 0.685 1
Sb1 Sb 0.000 0.545 0.578 1
Sb2 Sb 0.500 0.205 0.172 1
```

Values from the calculation:
Crystal system: monoclinic
SG: P2_1/m, No. 11
ΔE_f (raw) (meV/atom): -42.1



Record 10
Entry from Alexandria via LeMat-Bulk: an optimized crystal structure of PtCl4 (PBE).

CIF file:
```
data_PtCl4
_chemical_formula_sum 'Pt1 Cl4'
_space_group_name_H-M_alt 'P 1'
_space_group_IT_number 1
_cell_length_a 5.227
_cell_length_b 5.227
_cell_length_c 5.227
_cell_angle_alpha 109.47
_cell_angle_beta 109.47
_cell_angle_gamma 109.47
loop_
_space_group_symop_operation_xyz
'x,y,z'
loop_
_atom_site_label
_atom_site_type_symbol
_atom_site_fract_x
_atom_site_fract_y
_atom_site_fract_z
_atom_site_occupancy
Pt1 Pt 0.000 0.000 0.000 1
Cl1 Cl 0.500 0.000 0.000 1
Cl2 Cl 0.500 0.500 0.500 1
Cl3 Cl 0.000 0.500 0.000 1
Cl4 Cl 0.000 0.000 0.500 1
```

Values from the calculation:
Crystal system: cubic
SG: Im-3m, No. 229
ΔE_f (raw) (meV/atom): 306.5



Record 11
Entry from Alexandria via LeMat-Bulk: an optimized crystal structure of CaHfGa2O6 (PBE).

CIF file:
```
data_CaHfGa2O6
_chemical_formula_sum 'Ca1 Hf1 Ga2 O6'
_space_group_name_H-M_alt 'P 1'
_space_group_IT_number 1
_cell_length_a 5.351
_cell_length_b 5.351
_cell_length_c 5.604
_cell_angle_alpha 61.49
_cell_angle_beta 61.49
_cell_angle_gamma 60.00
loop_
_space_group_symop_operation_xyz
'x,y,z'
loop_
_atom_site_label
_atom_site_type_symbol
_atom_site_fract_x
_atom_site_fract_y
_atom_site_fract_z
_atom_site_occupancy
Ca1 Ca 0.795 0.795 0.615 1
Hf1 Hf 0.309 0.309 0.073 1
Ga1 Ga 0.522 0.522 0.434 1
Ga2 Ga 0.021 0.021 0.938 1
O1 O 0.622 0.248 0.233 1
O2 O 0.248 0.897 0.233 1
O3 O 0.897 0.621 0.233 1
O4 O 0.353 0.726 0.752 1
O5 O 0.726 0.170 0.752 1
O6 O 0.170 0.353 0.752 1
```

Values from the calculation:
Crystal system: trigonal
SG: R3, No. 146
ΔE_f (raw) (meV/atom): -2538.7



Record 12
Entry from Alexandria via LeMat-Bulk: an optimized crystal structure of PrNd4Tl2 (PBE).

CIF file:
```
data_PrNd4Tl2
_chemical_formula_sum 'Pr1 Nd4 Tl2'
_space_group_name_H-M_alt 'P 1'
_space_group_IT_number 1
_cell_length_a 3.598
_cell_length_b 7.979
_cell_length_c 7.979
_cell_angle_alpha 90.00
_cell_angle_beta 90.00
_cell_angle_gamma 90.00
loop_
_space_group_symop_operation_xyz
'x,y,z'
loop_
_atom_site_label
_atom_site_type_symbol
_atom_site_fract_x
_atom_site_fract_y
_atom_site_fract_z
_atom_site_occupancy
Pr1 Pr 0.000 0.000 0.000 1
Nd1 Nd 0.000 0.711 0.711 1
Nd2 Nd 0.000 0.289 0.289 1
Nd3 Nd 0.000 0.711 0.289 1
Nd4 Nd 0.000 0.289 0.711 1
Tl1 Tl 0.500 0.000 0.500 1
Tl2 Tl 0.500 0.500 0.000 1
```

Values from the calculation:
Crystal system: tetragonal
SG: P4/mmm, No. 123
Formation energy from the elements (eV per atom): 0.0102



It is found that the total magnetic moment values, taken in the order of the records, are 5.73 0.00 0.00 0.35 0.00 0.00 0.00 0.83 0.00 0.00 0.00 0.05 μB per cell.